# 1
# Nd6Y5Th2

Nd6Y5Th2 after structural relaxation (PBE, Alexandria).

Results
For the total magnetization, the calculation gives 0.0 μB/cell. The formation energy is 11.3 kJ per mole of atoms. As for the density of states at the Fermi level: 37.32 states/eV per cell. The crystal system is orthorhombic.

abc: 11.661 21.060 3.638
angles: 90.00 90.00 90.00
Fractional positions:
Nd1 0.068 0.146 0.000
Nd2 0.084 0.438 0.000
Nd3 0.182 0.875 0.500
Nd4 0.318 0.375 0.500
Nd5 0.416 0.938 0.000
Nd6 0.432 0.646 0.000
Nd7 0.568 0.354 0.000
Nd8 0.584 0.062 0.000
Nd9 0.682 0.625 0.500
Nd10 0.818 0.125 0.500
Nd11 0.916 0.562 0.000
Nd12 0.932 0.854 0.000
Y1 0.000 0.000 0.500
Y2 0.066 0.292 0.500
Y3 0.184 0.582 0.500
Y4 0.316 0.082 0.500
Y5 0.434 0.792 0.500
Y6 0.500 0.500 0.500
Y7 0.566 0.208 0.500
Y8 0.684 0.918 0.500
Y9 0.816 0.418 0.500
Y10 0.934 0.708 0.500
Th1 0.190 0.733 0.000
Th2 0.310 0.233 0.000
Th3 0.690 0.767 0.000
Th4 0.810 0.267 0.000

---

# 2
# K3Ba

K3Ba after structural relaxation (PBE, Alexandria).

Results
For the total magnetization, the calculation gives 0.0 μB/cell. The formation energy is 8.5 kJ per mole of atoms. As for the density of states at the Fermi level: 9.65 states/eV per cell. The crystal system is orthorhombic.

abc: 9.334 13.210 4.573
angles: 90.00 90.00 90.00
Fractional positions:
K1 0.000 0.000 0.000
K2 0.250 0.250 0.500
K3 0.250 0.750 0.500
K4 0.500 0.500 0.000
K5 0.750 0.250 0.500
K6 0.750 0.750 0.500
Ba1 0.000 0.500 0.000
Ba2 0.500 0.000 0.000

---

# 3
# Ga2Si2Bi

Ga2Si2Bi after structural relaxation (PBE, Alexandria).

Results
The value obtained for the raw formation energy is 0.337 eV per atom. For the total magnetization, the calculation gives 0.0 μB/cell. The value obtained for the offset from the most stable computed form is 89 meV/atom. As for the density of states at the Fermi level: 5.33 states/eV per cell. The crystal system is tetragonal.

abc: 4.395 4.395 10.606
angles: 90.00 90.00 90.00
Fractional positions:
Ga1 0.000 0.000 0.118
Ga2 0.000 0.000 0.882
Ga3 0.500 0.500 0.382
Ga4 0.500 0.500 0.618
Si1 0.000 0.500 0.250
Si2 0.000 0.500 0.750
Si3 0.500 0.000 0.250
Si4 0.500 0.000 0.750
Bi1 0.000 0.000 0.500
Bi2 0.500 0.500 0.000

---

# 4
# ErTmTe3

ErTmTe3 after structural relaxation (PBE, Alexandria).

Results
The value obtained for the raw formation energy is -1.337 eV per atom. For the total magnetization, the calculation gives 0.0 μB/cell. The value obtained for the offset from the most stable computed form is 0 meV/atom. The crystal system is trigonal.

abc: 8.232 8.232 8.232
angles: 55.08 55.08 55.08
Fractional positions:
Er1 0.158 0.158 0.158
Er2 0.842 0.842 0.842
Tm1 0.342 0.342 0.342
Tm2 0.658 0.658 0.658
Te1 0.065 0.435 0.749
Te2 0.251 0.935 0.565
Te3 0.435 0.749 0.065
Te4 0.565 0.251 0.935
Te5 0.749 0.065 0.435
Te6 0.935 0.565 0.251

---

# 5
# Cs3AcHo2S6

Cs3AcHo2S6 after structural relaxation (PBE, Alexandria).

Results
The value obtained for the raw formation energy is -1.832 eV per atom. For the total magnetization, the calculation gives 0.0 μB/cell. As for the density of states at the Fermi level: 0.00 states/eV per cell. The crystal system is monoclinic.

abc: 7.315 7.315 8.447
angles: 98.31 98.31 119.99
Fractional positions:
Cs1 0.000 0.000 0.000
Cs2 0.336 0.664 0.000
Cs3 0.664 0.336 0.000
Ac1 0.500 0.500 0.500
Ho1 0.167 0.833 0.500
Ho2 0.833 0.167 0.500
S1 0.084 0.438 0.316
S2 0.207 0.207 0.683
S3 0.438 0.084 0.316
S4 0.562 0.916 0.684
S5 0.793 0.793 0.317
S6 0.916 0.562 0.684

---

# 6
# CsNa2TlCd

CsNa2TlCd after structural relaxation (PBE, Alexandria).

Results
For the total magnetization, the calculation gives 0.0 μB/cell. The value obtained for the offset from the most stable computed form is 17 meV/atom. The formation energy is -0.4 kJ per mole of atoms. As for the density of states at the Fermi level: 1.63 states/eV per cell. The crystal system is tetragonal.

abc: 6.123 6.123 5.783
angles: 90.00 90.00 90.00
Fractional positions:
Cs1 0.000 0.000 0.000
Na1 0.000 0.500 0.500
Na2 0.500 0.000 0.500
Tl1 0.500 0.500 0.000
Cd1 0.500 0.500 0.500

---

# 7
# Ce2Pa4Sb3C2

Ce2Pa4Sb3C2 after structural relaxation (PBE, Alexandria).

Results
The value obtained for the raw formation energy is -0.483 eV per atom. For the total magnetization, the calculation gives 4.3 μB/cell. As for the density of states at the Fermi level: 27.53 states/eV per cell. The crystal system is tetragonal.

abc: 13.607 13.607 13.607
angles: 160.47 160.47 27.76
Fractional positions:
Ce1 0.198 0.198 0.000
Ce2 0.802 0.802 0.000
Pa1 0.085 0.585 0.500
Pa2 0.415 0.915 0.500
Pa3 0.585 0.085 0.500
Pa4 0.915 0.415 0.500
Sb1 0.324 0.324 0.000
Sb2 0.500 0.500 0.000
Sb3 0.676 0.676 0.000
C1 0.103 0.103 0.000
C2 0.897 0.897 0.000

---

# 8
# TbHoCuAg

TbHoCuAg after structural relaxation (PBE, Alexandria).

Results
For the total magnetization, the calculation gives 0.0 μB/cell. The value obtained for the offset from the most stable computed form is 19 meV/atom. The formation energy is -25.6 kJ per mole of atoms. As for the density of states at the Fermi level: 9.19 states/eV per cell. The crystal system is cubic.

abc: 7.126 7.126 7.126
angles: 90.00 90.00 90.00
Fractional positions:
Tb1 0.000 0.000 0.000
Tb2 0.000 0.500 0.500
Tb3 0.500 0.000 0.500
Tb4 0.500 0.500 0.000
Ho1 0.000 0.000 0.500
Ho2 0.000 0.500 0.000
Ho3 0.500 0.000 0.000
Ho4 0.500 0.500 0.500
Cu1 0.250 0.250 0.750
Cu2 0.250 0.750 0.250
Cu3 0.750 0.250 0.250
Cu4 0.750 0.750 0.750
Ag1 0.250 0.250 0.250
Ag2 0.250 0.750 0.750
Ag3 0.750 0.250 0.750
Ag4 0.750 0.750 0.250

---

# 9
# Pm5ErMg

Pm5ErMg after structural relaxation (PBE, Alexandria).

Results
For the total magnetization, the calculation gives 0.0 μB/cell. The formation energy is 16.0 kJ per mole of atoms. As for the density of states at the Fermi level: 21.27 states/eV per cell. The crystal system is monoclinic.

abc: 6.697 6.697 12.343
angles: 101.60 101.60 59.26
Fractional positions:
Pm1 0.177 0.293 0.685
Pm2 0.213 0.787 0.750
Pm3 0.293 0.177 0.185
Pm4 0.304 0.378 0.961
Pm5 0.378 0.304 0.461
Pm6 0.622 0.696 0.539
Pm7 0.696 0.622 0.039
Pm8 0.707 0.823 0.815
Pm9 0.787 0.213 0.250
Pm10 0.823 0.707 0.315
Er1 0.287 0.713 0.250
Er2 0.713 0.287 0.750
Mg1 0.000 0.000 0.000
Mg2 0.000 0.000 0.500

---

# 10
# AcGaSn2

AcGaSn2 after structural relaxation (PBE, Alexandria).

Results
For the total magnetization, the calculation gives 0.0 μB/cell. The value obtained for the offset from the most stable computed form is 143 meV/atom. The formation energy is -32.6 kJ per mole of atoms. As for the density of states at the Fermi level: 3.25 states/eV per cell. The crystal system is tetragonal.

abc: 3.991 3.991 7.103
angles: 90.00 90.00 90.00
Fractional positions:
Ac1 0.000 0.000 0.000
Ga1 0.000 0.000 0.500
Sn1 0.500 0.500 0.297
Sn2 0.500 0.500 0.703

---

# 11
# Zr2ScW

Zr2ScW after structural relaxation (PBE, Alexandria).

Results
For the total magnetization, the calculation gives 0.0 μB/cell. The value obtained for the offset from the most stable computed form is 62 meV/atom. The formation energy is 18.4 kJ per mole of atoms. As for the density of states at the Fermi level: 6.56 states/eV per cell. The crystal system is tetragonal.

abc: 3.402 3.402 7.314
angles: 90.00 90.00 90.00
Fractional positions:
Zr1 0.000 0.000 0.000
Zr2 0.500 0.500 0.264
Sc1 0.000 0.000 0.567
W1 0.500 0.500 0.794

---

# 12
# Ac2ThGa

Ac2ThGa after structural relaxation (PBE, Alexandria).

Results
For the total magnetization, the calculation gives 0.0 μB/cell. The value obtained for the offset from the most stable computed form is 87 meV/atom. The formation energy is -2.9 kJ per mole of atoms. As for the density of states at the Fermi level: 4.44 states/eV per cell. The crystal system is tetragonal.

abc: 5.107 5.107 5.066
angles: 90.00 90.00 90.00
Fractional positions:
Ac1 0.000 0.500 0.000
Ac2 0.500 0.000 0.000
Th1 0.000 0.000 0.500
Ga1 0.500 0.500 0.500